Here is crystalline Y2PuH8 at its relaxed geometry from Alexandria via LeMat-Bulk. Energies are from GGA-PBE.

Lattice parameters (Å, degrees): 3.622 5.330 6.312 114.97 106.67 90.00
Fractional positions:
H 0.000 0.275 0.000
H 0.661 0.897 0.323
Y 0.171 0.671 0.342
H 0.155 0.155 0.309
H 0.339 0.574 0.677
H 0.339 0.103 0.677
H 0.661 0.426 0.323
Pu 0.500 0.000 0.000
H 0.000 0.725 0.000
H 0.845 0.845 0.691
Y 0.829 0.329 0.658

Raw total energy, eV per atom: -5.47
Mass density, Mg/m³: 6.81
D(E_F), states/eV/atom: 0.80